A geometry-optimized AsCS2 structure. Source: Alexandria, functional PBE.

POSCAR file:
```
AsCS2
1.0
-2.935 2.935 3.807
2.935 -2.935 3.807
2.935 2.935 -3.807
As C S
2 2 4
Direct
0.000 0.000 0.000
0.750 0.250 0.500
0.250 0.750 0.500
0.500 0.500 0.000
0.209 0.125 0.584
0.375 0.791 0.916
0.541 0.625 0.416
0.875 0.459 0.084
```

Output
E above lowest polymorph = 268 kJ/mol of formula units
ρ = 3.82 g/cm³